# 1
## ScW2 (PBE)

Data for ScW2 after structural relaxation.

The structure belongs to space group Pnma (No. 62); the cell edges are 5.705, 4.605 and 8.159 Å and the angles 90.00°, 90.00° and 90.00°. The inequivalent atoms are Sc at (0.163, 0.250, 0.074), W at (0.030, 0.250, 0.720) and W at (0.151, 0.250, 0.414).

Its formation energy is 27.83 kJ per mole of atoms. The calculation puts the density of states at the Fermi level at 10.78 states/eV per cell. The theoretical density is 12.79 Mg/m³.

***

# 2
## ScW (PBE)

Data for ScW after structural relaxation.

The structure belongs to space group P6_3/mmc (No. 194); the cell edges are 4.8758, 4.8758 and 7.6303 Å and the angles 90.00°, 90.00° and 120.00°. The inequivalent atoms are Sc at (0.0000, 0.0000, 0.2500), Sc at (0.3333, 0.6667, 0.2500) and W at (0.3333, 0.6667, 0.5905).

Its formation energy is 47.43 kJ per mole of atoms. The calculation puts the density of states at the Fermi level at 8.05 states/eV per cell. The theoretical density is 9.67 Mg/m³. The relative energy among the computed polymorphs is 0.3998 eV per atom.

***

# 3
## Sc3W (PBE)

Data for Sc3W after structural relaxation.

The structure belongs to space group Imm2 (No. 44); the cell edges are 3.020, 9.851 and 5.583 Å and the angles 90.00°, 90.00° and 90.00°. The inequivalent atoms are Sc at (0.000, 0.000, 0.000), Sc at (0.000, 0.238, 0.678) and W at (0.000, 0.500, 0.964).

Its formation energy is 24.09 kJ per mole of atoms. The calculation puts the density of states at the Fermi level at 10.00 states/eV per cell. The theoretical density is 6.37 Mg/m³. The relative energy among the computed polymorphs is 0.0759 eV per atom.

***

# 4
## ScW3 (PBE)

Data for ScW3 after structural relaxation.

The structure belongs to space group I4/mmm (No. 139); the cell edges are 3.860, 3.860 and 18.494 Å and the angles 90.00°, 90.00° and 90.00°. The inequivalent atoms are Sc at (0.000, 0.000, 0.126), W at (0.000, 0.000, 0.376), W at (0.000, 0.500, 0.000) and W at (0.000, 0.500, 0.250).

Its formation energy is 44.43 kJ per mole of atoms. The calculation puts the density of states at the Fermi level at 15.86 states/eV per cell. The theoretical density is 14.38 Mg/m³.

***

# 5
## Sc2W (PBE)

Data for Sc2W after structural relaxation.

The structure belongs to space group Pnma (No. 62); the cell edges are 5.975, 4.558 and 8.800 Å and the angles 90.00°, 90.00° and 90.00°. The inequivalent atoms are Sc at (0.061, 0.250, 0.215), Sc at (0.177, 0.250, 0.558) and W at (0.194, 0.250, 0.876).

Its formation energy is 28.33 kJ per mole of atoms. The calculation puts the density of states at the Fermi level at 12.56 states/eV per cell. The theoretical density is 7.59 Mg/m³. The relative energy among the computed polymorphs is 0.1805 eV per atom.

***

# 6
## ScW (PBE)

Data for ScW after structural relaxation.

The structure belongs to space group Pmn2_1 (No. 31); the cell edges are 14.848, 2.894 and 5.310 Å and the angles 90.00°, 90.00° and 90.00°. The inequivalent atoms are Sc at (0.000, 0.140, 0.000), Sc at (0.177, 0.998, 0.755), W at (0.000, 0.704, 0.487) and W at (0.150, 0.487, 0.271).

Its formation energy is 31.27 kJ per mole of atoms. The calculation puts the density of states at the Fermi level at 13.89 states/eV per cell. The theoretical density is 9.99 Mg/m³. The relative energy among the computed polymorphs is 0.2324 eV per atom.

***

# 7
## ScW3 (PBE)

Data for ScW3 after structural relaxation.

The structure belongs to space group Pm-3m (No. 221); the cell edges are 4.109, 4.109 and 4.109 Å and the angles 90.00°, 90.00° and 90.00°. The inequivalent atoms are Sc at (0.000, 0.000, 0.000) and W at (0.000, 0.500, 0.500).

Its formation energy is 53.76 kJ per mole of atoms. The calculation puts the density of states at the Fermi level at 5.76 states/eV per cell. The theoretical density is 14.27 Mg/m³.

***

# 8
## Sc4W5 (PBE)

Data for Sc4W5 after structural relaxation.

The structure belongs to space group I4/mmm (No. 139); the cell edges are 10.002, 10.002 and 3.280 Å and the angles 90.00°, 90.00° and 90.00°. The inequivalent atoms are Sc at (0.000, 0.317, 0.000), W at (0.000, 0.000, 0.000) and W at (0.172, 0.172, 0.500).

Its formation energy is 25.72 kJ per mole of atoms. The calculation puts the density of states at the Fermi level at 17.04 states/eV per cell. The theoretical density is 11.12 Mg/m³. The relative energy among the computed polymorphs is 0.0000 eV per atom.

***

Copy entry 5 word for word.
## Sc2W (PBE)

Data for Sc2W after structural relaxation.

The structure belongs to space group Pnma (No. 62); the cell edges are 5.975, 4.558 and 8.800 Å and the angles 90.00°, 90.00° and 90.00°. The inequivalent atoms are Sc at (0.061, 0.250, 0.215), Sc at (0.177, 0.250, 0.558) and W at (0.194, 0.250, 0.876).

Its formation energy is 28.33 kJ per mole of atoms. The calculation puts the density of states at the Fermi level at 12.56 states/eV per cell. The theoretical density is 7.59 Mg/m³. The relative energy among the computed polymorphs is 0.1805 eV per atom.